(1)
Below is an optimized crystal structure of DySc2ZnAu4, with properties calculated at the GGA-PBE level.

a = 4.7425 Å, b = 4.7425 Å, c = 8.6330 Å
α = 74.06°, β = 74.06°, γ = 60.00°
Last column: nearest neighbours and their distance in Å.
Sites, in units of the cell vectors:
Au: 0.3874 0.3874 0.8377  1 Zn 2.77, 3 Sc 2.90, 3 Dy 3.04
Au: 0.6126 0.6126 0.1623  1 Zn 2.77, 3 Sc 2.90, 3 Dy 3.04
Au: 0.1233 0.1233 0.6301  4 Sc 2.84-2.89, 3 Zn 2.94, 1 Dy 3.03
Au: 0.8767 0.8767 0.3699  4 Sc 2.84-2.89, 3 Zn 2.94, 1 Dy 3.03
Sc: 0.7591 0.7591 0.7227  7 Au 2.84-2.90
Sc: 0.2409 0.2409 0.2773  7 Au 2.84-2.90
Dy: 0.0000 0.0000 0.0000  8 Au 3.03-3.04
Zn: 0.5000 0.5000 0.5000  8 Au 2.77-2.94

Output
energy of formation	-694.4	meV per atom

(2)
Below is an optimized crystal structure of Co3CuRu, with properties calculated at the GGA-PBE level.

a = 4.4106 Å, b = 4.4106 Å, c = 4.4106 Å
α = 90.00°, β = 90.00°, γ = 90.00°
Last column: nearest neighbours and their distance in Å.
Sites, in units of the cell vectors:
Co: 0.0000 0.0000 0.5000  2 Ru 2.21
Co: 0.5000 0.0000 0.0000  2 Ru 2.21
Co: 0.0000 0.5000 0.0000  2 Ru 2.21
Ru: 0.0000 0.0000 0.0000  6 Co 2.21
Cu: 0.5000 0.5000 0.5000  12 Co 3.12

Output
distance to the lowest polymorph of the same formula	164.5	meV/atom
energy of formation	1592.6	meV per atom

(3)
Below is an optimized crystal structure of TaMo2Cl, with properties calculated at the GGA-PBE level.

a = 3.1165 Å, b = 3.1165 Å, c = 7.2814 Å
α = 90.00°, β = 90.00°, γ = 90.00°
Last column: nearest neighbours and their distance in Å.
Sites, in units of the cell vectors:
Mo: 0.0000 0.0000 0.4717  4 Ta 2.73, 4 Cl 2.99
Mo: 0.0000 0.0000 0.0283  4 Ta 2.73, 4 Cl 2.99
Cl: 0.5000 0.5000 0.7500  8 Mo 2.99, 4 Cl 3.12
Ta: 0.5000 0.5000 0.2500  8 Mo 2.73

Output
distance to the lowest polymorph of the same formula	203.6	meV/atom

(4)
Below is an optimized crystal structure of LiMn2Cl, with properties calculated at the GGA-PBE level.

a = 5.4127 Å, b = 5.4127 Å, c = 5.4127 Å
α = 139.26°, β = 139.26°, γ = 58.97°
Last column: nearest neighbours and their distance in Å.
Sites, in units of the cell vectors:
Cl: 0.5000 0.5000 0.0000  4 Mn 2.66
Li: 0.7500 0.2500 0.5000  4 Mn 2.66
Mn: 0.2500 0.7500 0.5000  4 Li 2.66
Mn: 0.0000 0.0000 0.0000  4 Cl 2.66

Output
distance to the lowest polymorph of the same formula	596.9	meV/atom